w | {"formula": "SrGa5", "functional": "PBE", "state": "relaxed", "lattice": [[-3.792, -1.589, -1.969], [2.059, -3.975, -0.757], [-3.049, -0.124, 5.971]], "species": ["Ga", "Ga", "Ga", "Sr", "Ga", "Ga"], "frac_coords": [[0.000, 0.687, 0.374], [0.500, 0.820, 0.640], [0.500, 0.180, 0.360], [0.000, 0.000, 0.000], [0.500, 0.500, 0.000], [0.000, 0.313, 0.626]], "rho_g_cm3": 5.55, "n_ef_per_ev_atom": 0.372}

***

x | {"formula": "SrGa5", "functional": "PBE", "state": "relaxed", "lattice": [[-2.342, 3.006, 2.686], [-1.879, -4.134, -1.058], [2.889, -2.742, 5.586]], "species": ["Ga", "Ga", "Ga", "Sr", "Ga", "Ga"], "frac_coords": [[0.500, 0.000, 0.000], [0.167, 0.333, 0.800], [0.833, 0.667, 0.800], [0.500, 0.000, 0.500], [0.833, 0.667, 0.200], [0.167, 0.333, 0.200]], "rho_g_cm3": 5.61, "n_ef_per_ev_atom": 0.332}

***

Relative energies, unit meV/atom: w 89; x 0

***

w | {"formula": "Sr3Ga4", "functional": "PBE", "state": "relaxed", "lattice": [[-0.944, 4.064, 1.235], [-2.886, 0.489, -3.816], [-5.649, -5.640, 6.580]], "species": ["Ga", "Ga", "Sr", "Ga", "Sr", "Sr", "Ga"], "frac_coords": [[0.936, 0.436, 0.872], [0.635, 0.635, 0.270], [0.817, 0.817, 0.633], [0.365, 0.365, 0.730], [0.500, 0.000, 0.000], [0.183, 0.183, 0.367], [0.064, 0.564, 0.128]], "rho_g_cm3": 4.38, "n_ef_per_ev_atom": 0.595}

***

x | {"formula": "Sr3Ga4", "functional": "PBE", "state": "relaxed", "lattice": [[4.517, 0.002, 0.000], [-2.256, 5.910, 0.000], [0.000, 0.000, 14.838]], "species": ["Ga", "Sr", "Ga", "Ga", "Ga", "Ga", "Sr", "Ga", "Ga", "Sr", "Sr", "Sr", "Sr", "Ga"], "frac_coords": [[0.695, 0.390, 0.750], [0.988, 0.976, 0.750], [0.569, 0.137, 0.908], [0.568, 0.137, 0.593], [0.434, 0.868, 0.093], [0.434, 0.868, 0.408], [0.014, 0.029, 0.250], [0.307, 0.615, 0.250], [0.001, 0.002, 0.000], [0.722, 0.443, 0.102], [0.721, 0.443, 0.399], [0.281, 0.562, 0.899], [0.281, 0.561, 0.602], [0.001, 0.002, 0.500]], "rho_g_cm3": 4.54, "n_ef_per_ev_atom": 0.727}

***

Relative energies, unit meV/atom: w 0; x 74

***

w | {"formula": "SrTa3Ga", "functional": "PBE", "state": "relaxed", "lattice": [[4.949, 0.000, 0.000], [0.000, 4.949, 0.000], [0.000, 0.000, 4.949]], "species": ["Ta", "Ta", "Ta", "Ga", "Sr"], "frac_coords": [[0.000, 0.500, 0.000], [0.000, 0.000, 0.500], [0.500, 0.000, 0.000], [0.000, 0.000, 0.000], [0.500, 0.500, 0.500]], "rho_g_cm3": 9.59, "n_ef_per_ev_atom": 1.144}

***

x | {"formula": "SrTa3Ga", "functional": "PBE", "state": "relaxed", "lattice": [[4.887, 0.000, 0.000], [0.000, 4.887, 0.000], [0.000, 0.000, 4.887]], "species": ["Sr", "Ga", "Ta", "Ta", "Ta"], "frac_coords": [[0.000, 0.000, 0.000], [0.500, 0.500, 0.500], [0.000, 0.500, 0.000], [0.500, 0.000, 0.000], [0.000, 0.000, 0.500]], "rho_g_cm3": 9.96, "n_ef_per_ev_atom": 1.009}

***

Relative energies, unit meV/atom: w 0; x 1626